1.
First-principles (GGA-PBE) data for an optimized crystal structure of AsSeS4, as listed in the Alexandria database.

Summary:
Space group: No. 1
Formation energy from raw total energies: 160 meV/atom
Crystal system: triclinic

abc: 4.577 4.621 9.517
angles: 99.61 93.31 90.66
Fractional positions:
As  0.000  0.000  0.000
Se  0.988  0.629  0.487
S  0.280  0.259  0.407
S  0.304  0.004  0.565
S  0.318  0.658  0.901
S  0.643  0.707  0.066

***

2.
First-principles (GGA-PBE) data for an optimized crystal structure of Dy12Co5Hg, as listed in the Alexandria database.

Summary:
Calculated formation energy: -0.2292 eV/atom
Space group: No. 71
Crystal system: orthorhombic

abc: 8.251 8.251 8.251
angles: 110.63 110.30 107.50
Fractional positions:
Dy  0.017  0.210  0.808
Dy  0.184  0.291  0.475
Dy  0.184  0.709  0.893
Dy  0.316  0.012  0.696
Dy  0.316  0.620  0.304
Dy  0.402  0.210  0.192
Dy  0.598  0.790  0.808
Dy  0.684  0.380  0.696
Dy  0.684  0.988  0.304
Dy  0.816  0.291  0.107
Dy  0.816  0.709  0.525
Dy  0.983  0.790  0.192
Co  0.000  0.000  0.000
Co  0.113  0.613  0.500
Co  0.377  0.000  0.377
Co  0.623  0.000  0.623
Co  0.887  0.387  0.500
Hg  0.500  0.500  0.000

***

3.
First-principles (GGA-PBE) data for an optimized crystal structure of DyPdRh, as listed in the Alexandria database.

Summary:
Calculated formation energy: -0.6244 eV/atom
Space group: No. 187
Crystal system: hexagonal

abc: 4.361 4.361 3.642
angles: 90.00 90.00 120.00
Fractional positions:
Dy  0.000  0.000  0.000
Pd  0.333  0.667  0.500
Rh  0.667  0.333  0.500

***

Q: What is the formula in the third record?
A: DyPdRh